First-principles (PBE+U) data for a relaxed Bi2WO6 crystal, as listed in Alexandria via LeMat-Bulk.

CIF file:
```
data_Bi2WO6
_chemical_formula_sum 'Bi4 W2 O12'
_cell_length_a 8.4909
_cell_length_b 8.4909
_cell_length_c 8.3536
_cell_angle_alpha 78.11
_cell_angle_beta 78.11
_cell_angle_gamma 26.24
_symmetry_space_group_name_H-M 'P 1'
_symmetry_Int_Tables_number 1
loop_
_symmetry_equiv_pos_as_xyz
'x,y,z'
loop_
_atom_site_label
_atom_site_type_symbol
_atom_site_fract_x
_atom_site_fract_y
_atom_site_fract_z
Bi1 Bi 0.3326 0.3326 0.0727
Bi2 Bi 0.3188 0.3188 0.6035
Bi3 Bi 0.6812 0.6812 0.3965
Bi4 Bi 0.6674 0.6674 0.9273
W1 W 0.9964 0.9964 0.7025
W2 W 0.0036 0.0036 0.2975
O1 O 0.0780 0.0780 0.8184
O2 O 0.5060 0.5060 0.3144
O3 O 0.7339 0.7339 0.6339
O4 O 0.1037 0.1037 0.1456
O5 O 0.8963 0.8963 0.8544
O6 O 0.0779 0.0779 0.4805
O7 O 0.2661 0.2661 0.3661
O8 O 0.4940 0.4940 0.6856
O9 O 0.2499 0.2499 0.8795
O10 O 0.9220 0.9220 0.1816
O11 O 0.7501 0.7501 0.1205
O12 O 0.9221 0.9221 0.5195
```

Output
The value obtained for the total magnetic moment is 0.0 μB per formula unit. The value obtained for the density of states at the Fermi level is 0.000 states/eV/cell. The calculation puts the uncorrected energy at -6.5994 eV per atom. As for the space group: C2/m, No. 12.